# 1
# CdAsBr2 (PBE-GGA, relaxed)
data_CdAsBr2
_space_group_name_H-M_alt 'F m -3 m'
_space_group_IT_number 225
_space_group_name_Hall '-F 4 2 3'
_cell_length_a 7.3119
_cell_length_b 7.3119
_cell_length_c 7.3119
_cell_angle_alpha 90.00
_cell_angle_beta 90.00
_cell_angle_gamma 90.00
loop_
_atom_site_label
_atom_site_type_symbol
_atom_site_fract_x
_atom_site_fract_y
_atom_site_fract_z
Cd1 Cd 0.0000 0.0000 0.0000
As1 As 0.0000 0.0000 0.5000
Br1 Br 0.2500 0.2500 0.2500
# Uncorrected formation energy = 0.32 eV per atom
# Energy above the lowest structure with this stoichiometry = 602 meV per atom

# 2
This record from the Alexandria database describes a relaxed CsBaAlH6 crystal. The functional is PBE-GGA.

The structure in CIF format:
```
data_CsBaAlH6
_space_group_name_H-M_alt 'P 3 1 2'
_space_group_IT_number 149
_cell_length_a 6.0088
_cell_length_b 6.0088
_cell_length_c 5.7834
_cell_angle_alpha 90.00
_cell_angle_beta 90.00
_cell_angle_gamma 120.00
loop_
_space_group_symop_operation_xyz
'x,y,z'
'-y,x-y,z'
'-x+y,-x,z'
'-y,-x,-z'
'-x+y,y,-z'
'x,x-y,-z'
loop_
_atom_site_label
_atom_site_type_symbol
_atom_site_fract_x
_atom_site_fract_y
_atom_site_fract_z
Cs1 Cs 0.0000 0.0000 0.0000
Ba1 Ba 0.3333 0.6667 0.5000
Al1 Al 0.6667 0.3333 0.5000
H1 H 0.4317 0.0900 0.6796
```

# 3
# NaIrS3 (PBE-GGA, relaxed)
data_NaIrS3
_space_group_name_H-M_alt 'P m -3 m'
_space_group_IT_number 221
_space_group_name_Hall '-P 4 2 3'
_cell_length_a 4.6563
_cell_length_b 4.6563
_cell_length_c 4.6563
_cell_angle_alpha 90.00
_cell_angle_beta 90.00
_cell_angle_gamma 90.00
loop_
_atom_site_label
_atom_site_type_symbol
_atom_site_fract_x
_atom_site_fract_y
_atom_site_fract_z
Na1 Na 0.0000 0.0000 0.0000
Ir1 Ir 0.5000 0.5000 0.5000
S1 S 0.0000 0.0000 0.5000
# Uncorrected formation energy = 1.70 eV per atom
# Energy above the lowest structure with this stoichiometry = 1605 meV per atom

| no. | mass density (g/cm³) | final energy (eV/cell) | calculated volume (Å³/cell) |
| --- | --- | --- | --- |
| 1 | 5.898 | -30.481 | 390.9 |
| 2 | 2.785 | -28.780 | 180.8 |
| 3 | 5.122 | -14.076 | 101.0 |